GeAuN2O at its PBEsol-relaxed geometry, computed with meta-GGA SCAN.

a b c (Å): 3.616 3.880 3.880
angles (deg): 90.00 90.00 90.00
Each line ends with the local moment (μB).
Fractional positions:
N 0.000 0.000 0.500  0.84
N 0.000 0.500 0.000  0.84
O 0.500 0.000 0.000  0.31
Au 0.500 0.500 0.500  0.33
Ge 0.000 0.000 0.000  -0.09

Symmetry = P4/mmm (123)
Total magnetic moment = 2.8 μB/cell
E = -21.653 eV per atom

---

ScCr3Ir at its PBEsol-relaxed geometry, computed with meta-GGA SCAN.

a b c (Å): 4.584 4.584 4.584
angles (deg): 90.00 90.00 90.00
Each line ends with the local moment (μB).
Fractional positions:
Ir 0.000 0.000 0.000  -0.32
Cr 0.000 0.000 0.500  3.13
Cr 0.000 0.500 0.000  3.13
Cr 0.500 0.000 0.000  3.13
Sc 0.500 0.500 0.500  -0.38

Calculated formation energy = 68 kJ per mole of atoms
Symmetry = Pm-3m (221)
Total magnetic moment = 9.1 μB/cell

---

Tl2TeMo2P2O14 at its PBEsol-relaxed geometry, computed with meta-GGA SCAN.

a b c (Å): 8.837 11.257 12.537
angles (deg): 90.00 90.00 90.00
Fractional positions:
O 0.727 0.844 0.072
O 0.948 0.543 0.379
O 0.351 0.631 0.369
O 0.978 0.947 0.131
O 0.722 0.944 0.470
O 0.649 0.369 0.631
O 0.351 0.869 0.631
O 0.851 0.631 0.131
O 0.773 0.344 0.428
O 0.771 0.447 0.229
O 0.478 0.947 0.369
O 0.688 0.848 0.665
O 0.271 0.053 0.729
O 0.771 0.053 0.771
O 0.022 0.053 0.869
O 0.552 0.457 0.879
O 0.273 0.156 0.928
O 0.273 0.344 0.072
O 0.312 0.152 0.335
O 0.022 0.447 0.131
O 0.649 0.131 0.369
O 0.522 0.447 0.369
O 0.773 0.156 0.572
O 0.722 0.556 0.530
O 0.052 0.043 0.379
O 0.229 0.553 0.771
O 0.778 0.056 0.970
O 0.278 0.056 0.530
O 0.948 0.957 0.621
O 0.448 0.543 0.121
O 0.812 0.348 0.835
O 0.052 0.457 0.621
O 0.729 0.553 0.729
O 0.312 0.348 0.665
O 0.188 0.848 0.835
O 0.448 0.957 0.879
O 0.812 0.152 0.165
O 0.222 0.944 0.030
O 0.188 0.652 0.165
O 0.688 0.652 0.335
O 0.729 0.947 0.271
O 0.149 0.131 0.131
O 0.271 0.447 0.271
O 0.149 0.369 0.869
O 0.478 0.553 0.631
O 0.727 0.656 0.928
O 0.522 0.053 0.631
O 0.851 0.869 0.869
O 0.278 0.444 0.470
O 0.778 0.444 0.030
O 0.227 0.844 0.428
O 0.229 0.947 0.229
O 0.227 0.656 0.572
O 0.222 0.556 0.970
O 0.552 0.043 0.121
O 0.978 0.553 0.869
Tl 0.522 0.228 0.810
Tl 0.478 0.772 0.190
Tl 0.978 0.772 0.310
Tl 0.022 0.272 0.310
Tl 0.022 0.228 0.690
Tl 0.478 0.728 0.810
Tl 0.522 0.272 0.190
Tl 0.978 0.728 0.690
Mo 0.242 0.482 0.622
Mo 0.742 0.482 0.878
Mo 0.758 0.518 0.378
Mo 0.742 0.018 0.122
Mo 0.758 0.982 0.622
Mo 0.258 0.982 0.878
Mo 0.242 0.018 0.378
Mo 0.258 0.518 0.122
Te 0.128 0.250 0.000
Te 0.372 0.750 0.500
Te 0.872 0.750 0.000
Te 0.628 0.250 0.500
P 0.142 0.506 0.870
P 0.358 0.494 0.370
P 0.142 0.994 0.130
P 0.642 0.506 0.630
P 0.858 0.494 0.130
P 0.858 0.006 0.870
P 0.358 0.006 0.630
P 0.642 0.994 0.370

Symmetry = Pbcn (60)
Total magnetic moment = 0.0 μB/cell
E = -19.094 eV per atom

---

TlRuPt at its PBEsol-relaxed geometry, computed with meta-GGA SCAN.

a b c (Å): 2.949 2.949 6.661
angles (deg): 90.00 90.00 120.00
Fractional positions:
Tl 0.667 0.333 0.337
Ru 0.333 0.667 0.679
Pt 0.000 0.000 0.984

Polymorph energy (0 for the lowest one) = 0 meV/atom
Calculated formation energy = 50 kJ per mole of atoms
Symmetry = P3m1 (156)
Total magnetic moment = 0.0 μB/cell

---

CaTe2Ir at its PBEsol-relaxed geometry, computed with meta-GGA SCAN.

a b c (Å): 3.374 5.019 5.019
angles (deg): 90.00 90.00 90.00
Fractional positions:
Te 0.000 0.500 0.000
Te 0.000 0.000 0.500
Ca 0.500 0.500 0.500
Ir 0.500 0.000 0.000

Polymorph energy (0 for the lowest one) = 90 meV/atom
Symmetry = P4/mmm (123)
Total magnetic moment = 0.0 μB/cell

---

Sc3TaN at its PBEsol-relaxed geometry, computed with meta-GGA SCAN.

a b c (Å): 4.938 4.938 4.938
angles (deg): 90.00 90.00 90.00
Fractional positions:
N 0.500 0.500 0.500
Sc 0.000 0.500 0.000
Sc 0.500 0.000 0.000
Sc 0.000 0.000 0.500
Ta 0.000 0.000 0.000

Symmetry = Pm-3m (221)
Total magnetic moment = 0.0 μB/cell
E = -22.050 eV per atom

---

LiHgIO2 at its PBEsol-relaxed geometry, computed with meta-GGA SCAN.

a b c (Å): 4.124 4.124 6.442
angles (deg): 90.00 90.00 90.00
Each line ends with the local moment (μB).
Fractional positions:
Hg 0.000 0.000 0.000  0.03
O 0.500 0.000 0.000  0.44
O 0.000 0.500 0.000  0.44
I 0.000 0.000 0.500  0.01
Li 0.500 0.500 0.500  0.00

Symmetry = P4/mmm (123)
Total magnetic moment = 1.1 μB/cell
E = -24.016 eV per atom

---

LaC3Se at its PBEsol-relaxed geometry, computed with meta-GGA SCAN.

a b c (Å): 4.015 4.015 4.015
angles (deg): 90.00 90.00 90.00
Fractional positions:
C 0.000 0.000 0.500
C 0.500 0.000 0.000
C 0.000 0.500 0.000
Se 0.000 0.000 0.000
La 0.500 0.500 0.500

Symmetry = Pm-3m (221)
Total magnetic moment = 0.0 μB/cell
E = -17.003 eV per atom